Entry 1:
! KTaFe (PBE, optimized geometry); values from VASP
&SYSTEM
  ibrav = 0, nat = 3, ntyp = 3
/
ATOMIC_SPECIES
K 39.10 K.upf
Ta 180.95 Ta.upf
Fe 55.84 Fe.upf
CELL_PARAMETERS angstrom
0.000 3.411 3.411
3.411 0.000 3.411
3.411 3.411 0.000
ATOMIC_POSITIONS crystal
K 0.000 0.000 0.000
Ta 0.750 0.750 0.750
Fe 0.250 0.250 0.250
! ΔE_f ... 2.8894 eV per atom
! Symmetry ... No. 216
! Mass density ... 5770 kg/m3

Entry 2:
! K3TaFe (PBE, optimized geometry); values from VASP
&SYSTEM
  ibrav = 0, nat = 5, ntyp = 3
/
ATOMIC_SPECIES
K 39.10 K.upf
Ta 180.95 Ta.upf
Fe 55.84 Fe.upf
CELL_PARAMETERS angstrom
6.688 0.000 0.000
0.000 6.688 0.000
0.000 0.000 6.688
ATOMIC_POSITIONS crystal
K 0.000 0.000 0.500
K 0.000 0.500 0.000
K 0.500 0.000 0.000
Ta 0.000 0.000 0.000
Fe 0.500 0.500 0.500
! ΔE_f ... 2.0045 eV per atom
! Symmetry ... No. 221
! Mass density ... 1965 kg/m3

Entry 3:
! KTa3Fe (PBE, optimized geometry); values from VASP
&SYSTEM
  ibrav = 0, nat = 5, ntyp = 3
/
ATOMIC_SPECIES
K 39.10 K.upf
Ta 180.95 Ta.upf
Fe 55.84 Fe.upf
CELL_PARAMETERS angstrom
4.762 0.000 0.000
0.000 4.762 0.000
0.000 0.000 4.762
ATOMIC_POSITIONS crystal
K 0.000 0.000 0.000
Ta 0.000 0.500 0.500
Ta 0.500 0.000 0.500
Ta 0.500 0.500 0.000
Fe 0.500 0.500 0.500
! ΔE_f ... 1.2134 eV per atom
! Symmetry ... No. 221
! Mass density ... 9806 kg/m3

Entry 4:
! KTa4Fe (PBE, optimized geometry); values from VASP
&SYSTEM
  ibrav = 0, nat = 6, ntyp = 3
/
ATOMIC_SPECIES
K 39.10 K.upf
Ta 180.95 Ta.upf
Fe 55.84 Fe.upf
CELL_PARAMETERS angstrom
0.000 3.972 3.972
3.972 0.000 3.972
3.972 3.972 0.000
ATOMIC_POSITIONS crystal
K 0.000 0.000 0.000
Ta 0.126 0.625 0.625
Ta 0.625 0.126 0.625
Ta 0.625 0.625 0.126
Ta 0.625 0.625 0.625
Fe 0.250 0.250 0.250
! ΔE_f ... 1.2141 eV per atom
! Symmetry ... No. 216
! Mass density ... 10847 kg/m3

Entry 5:
! KTaFe3 (PBE, optimized geometry); values from VASP
&SYSTEM
  ibrav = 0, nat = 5, ntyp = 3
/
ATOMIC_SPECIES
K 39.10 K.upf
Ta 180.95 Ta.upf
Fe 55.84 Fe.upf
CELL_PARAMETERS angstrom
4.307 0.000 0.000
0.000 4.307 0.000
0.000 0.000 4.307
ATOMIC_POSITIONS crystal
K 0.000 0.000 0.000
Ta 0.500 0.500 0.500
Fe 0.000 0.000 0.500
Fe 0.000 0.500 0.000
Fe 0.500 0.000 0.000
! ΔE_f ... 2.4699 eV per atom
! Symmetry ... No. 221
! Mass density ... 8056 kg/m3

Entry 6:
! KTaFe2 (PBE, optimized geometry); values from VASP
&SYSTEM
  ibrav = 0, nat = 4, ntyp = 3
/
ATOMIC_SPECIES
K 39.10 K.upf
Ta 180.95 Ta.upf
Fe 55.84 Fe.upf
CELL_PARAMETERS angstrom
4.334 -1.484 0.000
4.334 1.484 0.000
-0.684 0.000 7.144
ATOMIC_POSITIONS crystal
K 0.000 0.000 0.000
Ta 0.500 0.500 0.500
Fe 0.233 0.233 0.623
Fe 0.767 0.767 0.377
! ΔE_f ... 0.7370 eV per atom
! Symmetry ... No. 12
! Mass density ... 5997 kg/m3

Copy entry 5 word for word.
! KTaFe3 (PBE, optimized geometry); values from VASP
&SYSTEM
  ibrav = 0, nat = 5, ntyp = 3
/
ATOMIC_SPECIES
K 39.10 K.upf
Ta 180.95 Ta.upf
Fe 55.84 Fe.upf
CELL_PARAMETERS angstrom
4.307 0.000 0.000
0.000 4.307 0.000
0.000 0.000 4.307
ATOMIC_POSITIONS crystal
K 0.000 0.000 0.000
Ta 0.500 0.500 0.500
Fe 0.000 0.000 0.500
Fe 0.000 0.500 0.000
Fe 0.500 0.000 0.000
! ΔE_f ... 2.4699 eV per atom
! Symmetry ... No. 221
! Mass density ... 8056 kg/m3

Repeat the fifth record exactly.
! KTaFe3 (PBE, optimized geometry); values from VASP
&SYSTEM
  ibrav = 0, nat = 5, ntyp = 3
/
ATOMIC_SPECIES
K 39.10 K.upf
Ta 180.95 Ta.upf
Fe 55.84 Fe.upf
CELL_PARAMETERS angstrom
4.307 0.000 0.000
0.000 4.307 0.000
0.000 0.000 4.307
ATOMIC_POSITIONS crystal
K 0.000 0.000 0.000
Ta 0.500 0.500 0.500
Fe 0.000 0.000 0.500
Fe 0.000 0.500 0.000
Fe 0.500 0.000 0.000
! ΔE_f ... 2.4699 eV per atom
! Symmetry ... No. 221
! Mass density ... 8056 kg/m3

- Number 6 is which compound?
  KTaFe2

Repeat the sixth record exactly.
! KTaFe2 (PBE, optimized geometry); values from VASP
&SYSTEM
  ibrav = 0, nat = 4, ntyp = 3
/
ATOMIC_SPECIES
K 39.10 K.upf
Ta 180.95 Ta.upf
Fe 55.84 Fe.upf
CELL_PARAMETERS angstrom
4.334 -1.484 0.000
4.334 1.484 0.000
-0.684 0.000 7.144
ATOMIC_POSITIONS crystal
K 0.000 0.000 0.000
Ta 0.500 0.500 0.500
Fe 0.233 0.233 0.623
Fe 0.767 0.767 0.377
! ΔE_f ... 0.7370 eV per atom
! Symmetry ... No. 12
! Mass density ... 5997 kg/m3